Below is Sc2AgP2 after structural relaxation, with properties calculated at the PBE level.

abc: 7.115 7.115 3.509
angles: 90.00 90.00 90.00
Fractional coordinates of all 10 atoms:
Sc: 0.155 0.345 0.000
Sc: 0.345 0.845 0.000
Sc: 0.655 0.155 0.000
Sc: 0.845 0.655 0.000
Ag: 0.000 0.000 0.500
Ag: 0.500 0.500 0.500
P: 0.153 0.653 0.500
P: 0.347 0.153 0.500
P: 0.653 0.847 0.500
P: 0.847 0.347 0.500

E   -6.179 eV per atom
Density of states at the Fermi level   7.7 states/eV/cell